[1]
A relaxed LiSm4Al crystal. Source: the Alexandria database, functional PBE.

It has space group P4/mmm (No. 123), with a = 4.9743 Å, b = 4.9743 Å, c = 7.8467 Å, α = 90.00°, β = 90.00° and γ = 90.00°. The inequivalent atoms are Li at (0.0000, 0.0000, 0.0000), Sm at (0.0000, 0.5000, 0.2645) and Al at (0.5000, 0.5000, 0.5000).

The calculated total energy comes out at -3.872 eV per atom. For the density of states at the Fermi level, the calculation gives 1.18 states/eV per atom. The value obtained for the volume is 194.2 Å³ per cell. For the energy above the lowest structure with this stoichiometry, the calculation gives 297 meV/atom.

[2]
A relaxed LiSmAl2 crystal. Source: the Alexandria database, functional PBE.

It has space group Cmmm (No. 65), with a = 5.2602 Å, b = 7.0852 Å, c = 4.4978 Å, α = 90.00°, β = 90.00° and γ = 90.00°. The inequivalent atoms are Li at (0.0000, 0.0000, 0.0000), Sm at (0.0000, 0.5000, 0.0000) and Al at (0.0000, 0.1869, 0.5000).

The calculated total energy comes out at -3.559 eV per atom. For the density of states at the Fermi level, the calculation gives 0.50 states/eV per atom. The value obtained for the volume is 167.6 Å³ per cell. For the energy above the lowest structure with this stoichiometry, the calculation gives 218 meV/atom.

[3]
A relaxed LiSm8Al2 crystal. Source: the Alexandria database, functional PBE.

It has space group C2/m (No. 12), with a = 18.1602 Å, b = 5.1880 Å, c = 7.0313 Å, α = 90.00°, β = 101.92° and γ = 90.00°. The inequivalent atoms are Li at (0.0000, 0.0000, 0.0000), Sm at (0.0254, 0.5000, 0.7551), Sm at (0.0966, 0.0000, 0.4672), Sm at (0.1607, 0.0000, 0.9534), Sm at (0.1948, 0.5000, 0.2845) and Al at (0.1958, 0.5000, 0.7287).

The calculated total energy comes out at -4.370 eV per atom. For the density of states at the Fermi level, the calculation gives 0.96 states/eV per atom. The value obtained for the volume is 648.2 Å³ per cell.

[4]
A relaxed LiSm2Al crystal. Source: the Alexandria database, functional PBE.

It has space group Fm-3m (No. 225), with a = 7.4257 Å, b = 7.4257 Å, c = 7.4257 Å, α = 90.00°, β = 90.00° and γ = 90.00°. The inequivalent atoms are Li at (0.0000, 0.0000, 0.0000), Sm at (0.2500, 0.2500, 0.2500) and Al at (0.0000, 0.0000, 0.5000).

The calculated total energy comes out at -3.972 eV per atom. For the density of states at the Fermi level, the calculation gives 0.86 states/eV per atom. The value obtained for the volume is 409.5 Å³ per cell.

[5]
A relaxed Li2Sm3Al9 crystal. Source: the Alexandria database, functional PBE.

It has space group Immm (No. 71), with a = 4.3978 Å, b = 9.9205 Å, c = 12.8175 Å, α = 90.00°, β = 90.00° and γ = 90.00°. The inequivalent atoms are Li at (0.0000, 0.1974, 0.0000), Sm at (0.0000, 0.0000, 0.1929), Sm at (0.0000, 0.0000, 0.5000), Al at (0.0000, 0.2779, 0.3642), Al at (0.0000, 0.3666, 0.1572) and Al at (0.0000, 0.5000, 0.5000).

The calculated total energy comes out at -4.067 eV per atom. For the density of states at the Fermi level, the calculation gives 0.53 states/eV per atom. The value obtained for the volume is 559.2 Å³ per cell.

[6]
A relaxed LiSm4Al3 crystal. Source: the Alexandria database, functional PBE.

It has space group I4/mmm (No. 139), with a = 5.1762 Å, b = 5.1762 Å, c = 15.1170 Å, α = 90.00°, β = 90.00° and γ = 90.00°. The inequivalent atoms are Li at (0.0000, 0.0000, 0.0000), Sm at (0.0000, 0.5000, 0.1273), Al at (0.0000, 0.0000, 0.2476) and Al at (0.0000, 0.0000, 0.5000).

The calculated total energy comes out at -4.303 eV per atom. For the density of states at the Fermi level, the calculation gives 0.51 states/eV per atom. The value obtained for the volume is 405.0 Å³ per cell.

[7]
A relaxed Li3SmAl3 crystal. Source: the Alexandria database, functional PBE.

It has space group Pm-3n (No. 223), with a = 6.7368 Å, b = 6.7368 Å, c = 6.7368 Å, α = 90.00°, β = 90.00° and γ = 90.00°. The inequivalent atoms are Li at (0.0000, 0.2500, 0.5000), Sm at (0.0000, 0.0000, 0.0000) and Al at (0.0000, 0.5000, 0.2500).

The calculated total energy comes out at -2.694 eV per atom. For the density of states at the Fermi level, the calculation gives 0.47 states/eV per atom. The value obtained for the volume is 305.7 Å³ per cell.

[8]
A relaxed LiSm2Al3 crystal. Source: the Alexandria database, functional PBE.

It has space group P6_3/mmc (No. 194), with a = 5.7139 Å, b = 5.7139 Å, c = 9.0598 Å, α = 90.00°, β = 90.00° and γ = 120.00°. The inequivalent atoms are Li at (0.0000, 0.0000, 0.0000), Sm at (0.3333, 0.6667, 0.0736) and Al at (0.1698, 0.3396, 0.7500).

The calculated total energy comes out at -4.150 eV per atom. For the density of states at the Fermi level, the calculation gives 0.55 states/eV per atom. The value obtained for the volume is 256.2 Å³ per cell.